Record 1
# GGA-PBE KCeSe2, optimized geometry
# Density = 5.09 g cm⁻³
# Formation energy from raw total energies = -6.08 eV per formula unit
# DOS(E_F) = 5.14 states/eV/cell
data_KCeSe2
_chemical_formula_sum 'K1 Ce1 Se2'
_cell_length_a 3.716
_cell_length_b 3.716
_cell_length_c 7.962
_cell_angle_alpha 90.00
_cell_angle_beta 90.00
_cell_angle_gamma 90.00
_space_group_name_H-M_alt 'P 4/m m m'
_space_group_IT_number 123
_space_group_name_Hall '-P 4 2'
loop_
_atom_site_label
_atom_site_type_symbol
_atom_site_fract_x
_atom_site_fract_y
_atom_site_fract_z
K1 K 0.000 0.000 0.000
Ce1 Ce 0.000 0.000 0.500
Se1 Se 0.500 0.500 0.288

---

Record 2
# GGA-PBE KCeSe3, optimized geometry
# Density = 3.94 g cm⁻³
# Formation energy from raw total energies = -6.13 eV per formula unit
# DOS(E_F) = 2.98 states/eV/cell
# Offset from the most stable computed form = 0.107 eV/atom
data_KCeSe3
_chemical_formula_sum 'K1 Ce1 Se3'
_cell_length_a 5.597
_cell_length_b 5.597
_cell_length_c 5.597
_cell_angle_alpha 90.00
_cell_angle_beta 90.00
_cell_angle_gamma 90.00
_space_group_name_H-M_alt 'P m -3 m'
_space_group_IT_number 221
_space_group_name_Hall '-P 4 2 3'
loop_
_atom_site_label
_atom_site_type_symbol
_atom_site_fract_x
_atom_site_fract_y
_atom_site_fract_z
K1 K 0.000 0.000 0.000
Ce1 Ce 0.500 0.500 0.500
Se1 Se 0.000 0.500 0.500

---

Record 3
# GGA-PBE KCe2Se3, optimized geometry
# Density = 5.22 g cm⁻³
# Formation energy from raw total energies = -10.32 eV per formula unit
# DOS(E_F) = 24.91 states/eV/cell
data_KCe2Se3
_chemical_formula_sum 'K2 Ce4 Se6'
_cell_length_a 4.2597
_cell_length_b 4.2597
_cell_length_c 22.5247
_cell_angle_alpha 90.00
_cell_angle_beta 90.00
_cell_angle_gamma 120.00
_space_group_name_H-M_alt 'P 63/m m c'
_space_group_IT_number 194
_space_group_name_Hall '-P 6c 2c'
loop_
_atom_site_label
_atom_site_type_symbol
_atom_site_fract_x
_atom_site_fract_y
_atom_site_fract_z
K1 K 0.0000 0.0000 0.2500
Ce1 Ce 0.3333 0.6667 0.0765
Se1 Se 0.0000 0.0000 0.0000
Se2 Se 0.3333 0.6667 0.6498